First-principles (PBE-GGA) data for CaYSe2 after structural relaxation, as listed in the Alexandria database.

Magnetization = 0.70 Bohr magnetons per cell
Uncorrected energy = -4.424 eV/atom
Polymorph energy (0 for the lowest one) = 1319 meV/atom
Mass density = 4.96 g cm⁻³
Formation energy (no corrections) = -0.56 eV per atom
DOS at the Fermi energy = 3.05 states/eV per cell

abc: 5.140 5.140 5.140
angles: 60.00 60.00 60.00
Atoms (fractional coordinates):
1 Ca 0.500 0.500 0.500
2 Y 0.750 0.750 0.750
3 Se 0.000 0.000 0.000
4 Se 0.250 0.250 0.250